This record from the Alexandria database describes a geometry-optimized LaSm2ErTh structure. The functional is PBE.

abc: 8.6725 6.4421 6.4098
angles: 90.00 98.70 90.00
Element x y z (fractional)
La 0.0000 0.0000 0.0000
La 0.0000 0.0000 0.5000
Sm 0.3161 0.3141 0.2024
Sm 0.3161 0.6859 0.7024
Sm 0.6839 0.3141 0.2976
Sm 0.6839 0.6859 0.7976
Er 0.5000 0.1710 0.7500
Er 0.5000 0.8290 0.2500
Th 0.0000 0.4542 0.7500
Th 0.0000 0.5458 0.2500

Results
* total magnetic moment: 0.000 μB/atom
* V: 354.0 Å³/cell
* energy relative to the elements: 1.55 eV/f.u.
* D(E_F): 14.00 states/eV/cell